A geometry-optimized LaFe2B2O7 structure, computed with PBE with a Hubbard U.

E	-0.278	Ha/atom
V	15.8	Å³/atom
crystal system	trigonal
magnetization	9.00	μB/cell

abc: 9.064 9.064 9.064
angles: 32.36 32.36 32.36
Element x y z (fractional)
1 La 0.000 0.000 0.000
2 Fe 0.429 0.429 0.429
3 Fe 0.571 0.571 0.571
4 B 0.272 0.272 0.272
5 B 0.728 0.728 0.728
6 O 0.010 0.463 0.705
7 O 0.295 0.537 0.990
8 O 0.463 0.705 0.010
9 O 0.500 0.500 0.500
10 O 0.537 0.990 0.295
11 O 0.705 0.010 0.463
12 O 0.990 0.295 0.537